[1]
{"formula": "Rb2LaMn", "functional": "PBE", "state": "relaxed", "lattice": [[-6.783, 6.783, 2.590], [6.783, -6.783, 2.590], [6.783, 6.783, -2.590]], "species": ["Rb", "Rb", "Rb", "Rb", "La", "La", "Mn", "Mn"], "fractional_positions": [[0.375, 0.233, 0.358], [0.767, 0.125, 0.142], [0.875, 0.017, 0.642], [0.983, 0.625, 0.858], [0.250, 0.750, 0.500], [0.500, 0.500, 0.000], [0.000, 0.000, 0.000], [0.750, 0.250, 0.500]], "spacegroup": "I-42d", "crystal_system": "tetragonal"}

=====

[2]
{"formula": "RbLa2Mn", "functional": "PBE", "state": "relaxed", "lattice": [[0.000, 4.075, 4.075], [4.075, 0.000, 4.075], [4.075, 4.075, 0.000]], "species": ["Rb", "La", "La", "Mn"], "fractional_positions": [[0.000, 0.000, 0.000], [0.250, 0.250, 0.250], [0.750, 0.750, 0.750], [0.500, 0.500, 0.500]], "spacegroup": "Fm-3m", "crystal_system": "cubic"}

=====

[3]
{"formula": "RbLaMn3", "functional": "PBE", "state": "relaxed", "lattice": [[5.642, 0.000, 0.000], [0.000, 5.642, 0.000], [0.000, 0.000, 5.642]], "species": ["Rb", "La", "Mn", "Mn", "Mn"], "fractional_positions": [[0.000, 0.000, 0.000], [0.500, 0.500, 0.500], [0.000, 0.500, 0.500], [0.500, 0.000, 0.500], [0.500, 0.500, 0.000]], "spacegroup": "Pm-3m", "crystal_system": "cubic"}

=====

no.,offset from the most stable computed form (kJ/mol of formula units),formation enthalpy at 0 K (eV per atom)
1,0,0.862
2,101,0.715
3,0,1.350